VASP calculation (PBE) on an optimized crystal structure of Nb2ReSiSb.

Cell: 5.017 4.820 5.017 Å, 90.00 90.00 90.00°
Each line ends with the local moment (μB).
Sites, in units of the cell vectors:
Nb (0.500, 0.000, 0.000)  -0.02
Nb (0.000, 0.000, 0.500)  0.01
Si (0.500, 0.500, 0.500)  0.00
Re (0.000, 0.500, 0.000)  0.58
Sb (0.000, 0.000, 0.000)  0.00

Summary:
mass density	7.1	g/cm3
E_form (uncorrected)	1999	meV per atom